Compound: Cu3Ni5
Source: Alexandria via LeMat-Bulk
Functional: PBE
Structure: optimized geometry

Cell: 6.9220 6.9220 4.5116 Å, 90.00 90.00 120.00°
Space group P6_3/mcm (No. 193)
Inequivalent atoms, fractional coordinates:
Cu: 0.0000 0.4070 0.2500 x6
Ni: 0.0000 0.2148 0.7500 x6
Ni: 0.3333 0.6667 0.0000 x4

Properties
total magnetic moment	3.8	μB per cell
relative energy among the computed polymorphs	0.219	eV per atom
energy of formation	1.96	eV/f.u.
mass density	8.59	Mg/m³